{"formula": "Cd2GaHgAu", "functional": "PBE-GGA", "state": "relaxed", "lattice": [[5.381, 0.000, 0.000], [0.000, 5.381, 0.000], [0.000, 0.000, 4.867]], "species": ["Cd", "Cd", "Ga", "Hg", "Au"], "frac_coords": [[0.000, 0.500, 0.000], [0.500, 0.000, 0.000], [0.000, 0.000, 0.500], [0.500, 0.500, 0.500], [0.000, 0.000, 0.000]], "magmom_total_mub_per_cell": 0.00, "e_tot_ev_per_atom": -1.665, "mass_density_g_cm3": 8.2}

{"formula": "SrGa8Co4", "functional": "PBE-GGA", "state": "relaxed", "lattice": [[-4.318, 4.318, 2.605], [4.318, -4.318, 2.605], [4.318, 4.318, -2.605]], "species": ["Sr", "Ga", "Ga", "Ga", "Ga", "Ga", "Ga", "Ga", "Ga", "Co", "Co", "Co", "Co"], "frac_coords": [[0.000, 0.000, 0.000], [0.000, 0.341, 0.341], [0.000, 0.659, 0.659], [0.270, 0.500, 0.770], [0.341, 0.000, 0.341], [0.500, 0.270, 0.770], [0.500, 0.730, 0.230], [0.659, 0.000, 0.659], [0.730, 0.500, 0.230], [0.000, 0.000, 0.500], [0.000, 0.500, 0.000], [0.500, 0.000, 0.000], [0.500, 0.500, 0.500]], "magmom_total_mub_per_cell": 0.00, "e_tot_ev_per_atom": -4.435, "mass_density_g_cm3": 7.5}